Entry 1:
Computed, not measured: LaPuHf after structural relaxation at the PBE-GGA level of DFT.

Cell: 3.280 3.280 30.517 Å, 90.00 90.00 90.00°
Sites, in units of the cell vectors:
La 0.000 0.000 0.058
La 0.000 0.000 0.942
La 0.500 0.500 0.442
La 0.500 0.500 0.558
Pu 0.000 0.000 0.358
Pu 0.000 0.000 0.642
Pu 0.500 0.500 0.142
Pu 0.500 0.500 0.858
Hf 0.000 0.000 0.215
Hf 0.000 0.000 0.785
Hf 0.500 0.500 0.285
Hf 0.500 0.500 0.715

E_form: 0.202 eV/atom
energy above the lowest structure with this stoichiometry: 0.00 kJ per mole of atoms
energy: -114.43 eV per cell
volume: 328 Å³/cell

---

Entry 2:
Computed, not measured: Mg2MnP after structural relaxation at the PBE-GGA level of DFT.

Cell: 3.459 3.976 10.349 Å, 90.00 90.00 90.00°
Sites, in units of the cell vectors:
Mg 0.000 0.000 0.000
Mg 0.000 0.500 0.500
Mg 0.500 0.000 0.311
Mg 0.500 0.500 0.811
Mn 0.000 0.000 0.713
Mn 0.000 0.500 0.213
P 0.500 0.000 0.574
P 0.500 0.500 0.074

E_form: -0.173 eV/atom
energy: -36.92 eV per cell
volume: 142 Å³/cell

---

Entry 3:
Computed, not measured: Ce2ThTl3 after structural relaxation at the PBE-GGA level of DFT.

Cell: 3.512 3.512 13.984 Å, 90.00 90.00 90.00°
Sites, in units of the cell vectors:
Ce 0.000 0.000 0.167
Ce 0.000 0.000 0.833
Th 0.000 0.000 0.500
Tl 0.500 0.500 0.000
Tl 0.500 0.500 0.331
Tl 0.500 0.500 0.669

E_form: -0.210 eV/atom
energy: -27.65 eV per cell
volume: 173 Å³/cell

---

Entry 4:
Computed, not measured: ZnSb2Ru after structural relaxation at the PBE-GGA level of DFT.

Cell: 5.933 7.688 3.403 Å, 90.00 90.00 90.00°
Sites, in units of the cell vectors:
Zn 0.000 0.000 0.000
Zn 0.500 0.500 0.000
Sb 0.250 0.250 0.500
Sb 0.250 0.750 0.500
Sb 0.750 0.250 0.500
Sb 0.750 0.750 0.500
Ru 0.000 0.500 0.000
Ru 0.500 0.000 0.000

formation energy (no corrections): 1.2 eV per formula unit
energy: -35.22 eV per cell
volume: 155 Å³/cell